(1)
# In5HgBi (PBE, optimized geometry)
data_In5HgBi
_space_group_name_H-M_alt 'P 1'
_space_group_IT_number 1
_cell_length_a 4.8386
_cell_length_b 4.8386
_cell_length_c 8.8686
_cell_angle_alpha 90.00
_cell_angle_beta 90.00
_cell_angle_gamma 90.00
loop_
_space_group_symop_operation_xyz
'x,y,z'
loop_
_atom_site_label
_atom_site_fract_x
_atom_site_fract_y
_atom_site_fract_z
In1 0.5000 0.5000 0.0000
In2 0.5000 0.0000 0.2742
In3 0.0000 0.5000 0.2742
In4 0.5000 0.0000 0.7258
In5 0.0000 0.5000 0.7258
Hg1 0.0000 0.0000 0.5000
Bi1 0.0000 0.0000 0.0000
# SG ... P4/mmm, No. 123



(2)
# In4HgBi (PBE, optimized geometry)
data_In4HgBi
_space_group_name_H-M_alt 'P 1'
_space_group_IT_number 1
_cell_length_a 6.2758
_cell_length_b 6.2758
_cell_length_c 6.2758
_cell_angle_alpha 60.00
_cell_angle_beta 60.00
_cell_angle_gamma 60.00
loop_
_space_group_symop_operation_xyz
'x,y,z'
loop_
_atom_site_label
_atom_site_fract_x
_atom_site_fract_y
_atom_site_fract_z
In1 0.6249 0.6249 0.1254
In2 0.6249 0.1254 0.6249
In3 0.6249 0.6249 0.6249
In4 0.1254 0.6249 0.6249
Bi1 0.2500 0.2500 0.2500
Hg1 0.0000 0.0000 0.0000
# SG ... F-43m, No. 216
# ΔE to the lowest computed polymorph ... 8.5 kJ/mol of atoms



no.,N(E_F) (states/eV per cell),E_form (kJ per mole of atoms),VASP energy (eV/f.u.)
1,3.4,4,-17.6
2,2.8,11,-14.5